[1]
GaGe2Ru: relaxed, GGA-PBE.

```
data_GaGe2Ru
_symmetry_space_group_name_H-M 'R -3 m'
_symmetry_Int_Tables_number 166
_symmetry_space_group_name_Hall '-R 3 2"'
_cell_length_a 3.0449
_cell_length_b 3.0449
_cell_length_c 26.4159
_cell_angle_alpha 90.00
_cell_angle_beta 90.00
_cell_angle_gamma 120.00
loop_
_atom_site_label
_atom_site_type_symbol
_atom_site_fract_x
_atom_site_fract_y
_atom_site_fract_z
Ga1 Ga 0.0000 0.0000 0.0000
Ge1 Ge 0.0000 0.0000 0.0979
Ru1 Ru 0.0000 0.0000 0.5000
```

ΔE_f (eV/atom): -0.04
Volume (Å³/f.u.): 71
DOS(E_F) (states/eV per cell): 7.81


[2]
Ga4GeRu5: relaxed, GGA-PBE.

```
data_Ga4GeRu5
_symmetry_space_group_name_H-M 'P 4/m m m'
_symmetry_Int_Tables_number 123
_symmetry_space_group_name_Hall '-P 4 2'
_cell_length_a 3.031
_cell_length_b 3.031
_cell_length_c 15.176
_cell_angle_alpha 90.00
_cell_angle_beta 90.00
_cell_angle_gamma 90.00
loop_
_atom_site_label
_atom_site_type_symbol
_atom_site_fract_x
_atom_site_fract_y
_atom_site_fract_z
Ga1 Ga 0.000 0.000 0.100
Ga2 Ga 0.000 0.000 0.299
Ge1 Ge 0.000 0.000 0.500
Ru1 Ru 0.500 0.500 0.000
Ru2 Ru 0.500 0.500 0.200
Ru3 Ru 0.500 0.500 0.402
```

ΔE_f (eV/atom): -0.30
Volume (Å³/f.u.): 139
DOS(E_F) (states/eV per cell): 10.13


[3]
GaGe3Ru: relaxed, GGA-PBE.

```
data_GaGe3Ru
_symmetry_space_group_name_H-M 'P m -3 m'
_symmetry_Int_Tables_number 221
_symmetry_space_group_name_Hall '-P 4 2 3'
_cell_length_a 4.891
_cell_length_b 4.891
_cell_length_c 4.891
_cell_angle_alpha 90.00
_cell_angle_beta 90.00
_cell_angle_gamma 90.00
loop_
_atom_site_label
_atom_site_type_symbol
_atom_site_fract_x
_atom_site_fract_y
_atom_site_fract_z
Ga1 Ga 0.000 0.000 0.000
Ge1 Ge 0.000 0.500 0.500
Ru1 Ru 0.500 0.500 0.500
```

ΔE_f (eV/atom): 0.30
E above lowest polymorph (kJ/mol of atoms): 0.0
Volume (Å³/f.u.): 117
DOS(E_F) (states/eV per cell): 5.03


[4]
GaGeRu: relaxed, GGA-PBE.

```
data_GaGeRu
_symmetry_space_group_name_H-M 'I 4 m m'
_symmetry_Int_Tables_number 107
_symmetry_space_group_name_Hall 'I 4 -2'
_cell_length_a 3.290
_cell_length_b 3.290
_cell_length_c 8.192
_cell_angle_alpha 90.00
_cell_angle_beta 90.00
_cell_angle_gamma 90.00
loop_
_atom_site_label
_atom_site_type_symbol
_atom_site_fract_x
_atom_site_fract_y
_atom_site_fract_z
Ga1 Ga 0.000 0.000 0.000
Ge1 Ge 0.000 0.000 0.323
Ru1 Ru 0.000 0.000 0.667
```

ΔE_f (eV/atom): -0.19
E above lowest polymorph (kJ/mol of atoms): 7.6
Volume (Å³/f.u.): 44
DOS(E_F) (states/eV per cell): 2.98


[5]
GaGe2Ru: relaxed, GGA-PBE.

```
data_GaGe2Ru
_symmetry_space_group_name_H-M 'I -4 2 d'
_symmetry_Int_Tables_number 122
_symmetry_space_group_name_Hall 'I -4 2bw'
_cell_length_a 5.967
_cell_length_b 5.967
_cell_length_c 10.282
_cell_angle_alpha 90.00
_cell_angle_beta 90.00
_cell_angle_gamma 90.00
loop_
_atom_site_label
_atom_site_type_symbol
_atom_site_fract_x
_atom_site_fract_y
_atom_site_fract_z
Ga1 Ga 0.000 0.000 0.000
Ge1 Ge 0.222 0.250 0.625
Ru1 Ru 0.000 0.000 0.500
```

ΔE_f (eV/atom): 0.35
Volume (Å³/f.u.): 92
DOS(E_F) (states/eV per cell): 9.97


[6]
Ga3GeRu: relaxed, GGA-PBE.

```
data_Ga3GeRu
_symmetry_space_group_name_H-M 'P m -3 m'
_symmetry_Int_Tables_number 221
_symmetry_space_group_name_Hall '-P 4 2 3'
_cell_length_a 4.808
_cell_length_b 4.808
_cell_length_c 4.808
_cell_angle_alpha 90.00
_cell_angle_beta 90.00
_cell_angle_gamma 90.00
loop_
_atom_site_label
_atom_site_type_symbol
_atom_site_fract_x
_atom_site_fract_y
_atom_site_fract_z
Ga1 Ga 0.000 0.000 0.500
Ge1 Ge 0.000 0.000 0.000
Ru1 Ru 0.500 0.500 0.500
```

ΔE_f (eV/atom): 1.07
E above lowest polymorph (kJ/mol of atoms): 79.6
Volume (Å³/f.u.): 111
DOS(E_F) (states/eV per cell): 5.83


[7]
GaGeRu2: relaxed, GGA-PBE.

```
data_GaGeRu2
_symmetry_space_group_name_H-M 'P 4/m m m'
_symmetry_Int_Tables_number 123
_symmetry_space_group_name_Hall '-P 4 2'
_cell_length_a 4.283
_cell_length_b 4.283
_cell_length_c 3.038
_cell_angle_alpha 90.00
_cell_angle_beta 90.00
_cell_angle_gamma 90.00
loop_
_atom_site_label
_atom_site_type_symbol
_atom_site_fract_x
_atom_site_fract_y
_atom_site_fract_z
Ga1 Ga 0.000 0.000 0.000
Ge1 Ge 0.500 0.500 0.000
Ru1 Ru 0.000 0.500 0.500
```

ΔE_f (eV/atom): -0.30
Volume (Å³/f.u.): 56
DOS(E_F) (states/eV per cell): 2.55


[8]
GaGe3Ru: relaxed, GGA-PBE.

```
data_GaGe3Ru
_symmetry_space_group_name_H-M 'P m -3 m'
_symmetry_Int_Tables_number 221
_symmetry_space_group_name_Hall '-P 4 2 3'
_cell_length_a 4.878
_cell_length_b 4.878
_cell_length_c 4.878
_cell_angle_alpha 90.00
_cell_angle_beta 90.00
_cell_angle_gamma 90.00
loop_
_atom_site_label
_atom_site_type_symbol
_atom_site_fract_x
_atom_site_fract_y
_atom_site_fract_z
Ga1 Ga 0.000 0.000 0.000
Ge1 Ge 0.000 0.000 0.500
Ru1 Ru 0.500 0.500 0.500
```

ΔE_f (eV/atom): 1.22
E above lowest polymorph (kJ/mol of atoms): 89.4
Volume (Å³/f.u.): 116
DOS(E_F) (states/eV per cell): 5.21


[9]
GaGeRu: relaxed, GGA-PBE.

```
data_GaGeRu
_symmetry_space_group_name_H-M 'P -6 m 2'
_symmetry_Int_Tables_number 187
_symmetry_space_group_name_Hall 'P -6 2'
_cell_length_a 4.2235
_cell_length_b 4.2235
_cell_length_c 3.0869
_cell_angle_alpha 90.00
_cell_angle_beta 90.00
_cell_angle_gamma 120.00
loop_
_atom_site_label
_atom_site_type_symbol
_atom_site_fract_x
_atom_site_fract_y
_atom_site_fract_z
Ga1 Ga 0.0000 0.0000 0.0000
Ge1 Ge 0.6667 0.3333 0.5000
Ru1 Ru 0.3333 0.6667 0.5000
```

ΔE_f (eV/atom): 0.04
E above lowest polymorph (kJ/mol of atoms): 29.8
Volume (Å³/f.u.): 48
DOS(E_F) (states/eV per cell): 2.02


[10]
Sc3Ga2GeRu3: relaxed, GGA-PBE.

```
data_Sc3Ga2GeRu3
_symmetry_space_group_name_H-M 'P -6 2 m'
_symmetry_Int_Tables_number 189
_symmetry_space_group_name_Hall 'P -6 -2'
_cell_length_a 7.4163
_cell_length_b 7.4163
_cell_length_c 3.1057
_cell_angle_alpha 90.00
_cell_angle_beta 90.00
_cell_angle_gamma 120.00
loop_
_atom_site_label
_atom_site_type_symbol
_atom_site_fract_x
_atom_site_fract_y
_atom_site_fract_z
Sc1 Sc 0.0000 0.2867 0.0000
Ga1 Ga 0.3333 0.6667 0.0000
Ge1 Ge 0.0000 0.0000 0.5000
Ru1 Ru 0.0000 0.6161 0.5000
```

ΔE_f (eV/atom): -0.43
Volume (Å³/f.u.): 148
DOS(E_F) (states/eV per cell): 4.94


[11]
SmGa2GeRu2: relaxed, GGA-PBE.

```
data_SmGa2GeRu2
_symmetry_space_group_name_H-M 'P 4/m m m'
_symmetry_Int_Tables_number 123
_symmetry_space_group_name_Hall '-P 4 2'
_cell_length_a 4.546
_cell_length_b 4.546
_cell_length_c 5.678
_cell_angle_alpha 90.00
_cell_angle_beta 90.00
_cell_angle_gamma 90.00
loop_
_atom_site_label
_atom_site_type_symbol
_atom_site_fract_x
_atom_site_fract_y
_atom_site_fract_z
Sm1 Sm 0.000 0.000 0.000
Ga1 Ga 0.500 0.500 0.233
Ge1 Ge 0.000 0.000 0.500
Ru1 Ru 0.000 0.500 0.500
```

ΔE_f (eV/atom): -0.21
Volume (Å³/f.u.): 117
DOS(E_F) (states/eV per cell): 4.96


[12]
GaSn2GeRu: relaxed, GGA-PBE.

```
data_GaSn2GeRu
_symmetry_space_group_name_H-M 'P 4/m m m'
_symmetry_Int_Tables_number 123
_symmetry_space_group_name_Hall '-P 4 2'
_cell_length_a 5.322
_cell_length_b 5.322
_cell_length_c 4.831
_cell_angle_alpha 90.00
_cell_angle_beta 90.00
_cell_angle_gamma 90.00
loop_
_atom_site_label
_atom_site_type_symbol
_atom_site_fract_x
_atom_site_fract_y
_atom_site_fract_z
Ga1 Ga 0.000 0.000 0.000
Sn1 Sn 0.000 0.500 0.500
Ge1 Ge 0.000 0.000 0.500
Ru1 Ru 0.500 0.500 0.000
```

ΔE_f (eV/atom): 1.13
Volume (Å³/f.u.): 137
DOS(E_F) (states/eV per cell): 4.32


[13]
SrGa2GeRu2: relaxed, GGA-PBE.

```
data_SrGa2GeRu2
_symmetry_space_group_name_H-M 'P 4/m m m'
_symmetry_Int_Tables_number 123
_symmetry_space_group_name_Hall '-P 4 2'
_cell_length_a 4.568
_cell_length_b 4.568
_cell_length_c 5.904
_cell_angle_alpha 90.00
_cell_angle_beta 90.00
_cell_angle_gamma 90.00
loop_
_atom_site_label
_atom_site_type_symbol
_atom_site_fract_x
_atom_site_fract_y
_atom_site_fract_z
Sr1 Sr 0.000 0.000 0.000
Ga1 Ga 0.500 0.500 0.240
Ge1 Ge 0.000 0.000 0.500
Ru1 Ru 0.000 0.500 0.500
```

ΔE_f (eV/atom): -0.20
Volume (Å³/f.u.): 123
DOS(E_F) (states/eV per cell): 1.94


[14]
SrGa2GeRu: relaxed, GGA-PBE.

```
data_SrGa2GeRu
_symmetry_space_group_name_H-M 'P 4/m m m'
_symmetry_Int_Tables_number 123
_symmetry_space_group_name_Hall '-P 4 2'
_cell_length_a 4.821
_cell_length_b 4.821
_cell_length_c 4.836
_cell_angle_alpha 90.00
_cell_angle_beta 90.00
_cell_angle_gamma 90.00
loop_
_atom_site_label
_atom_site_type_symbol
_atom_site_fract_x
_atom_site_fract_y
_atom_site_fract_z
Sr1 Sr 0.000 0.000 0.000
Ga1 Ga 0.000 0.500 0.500
Ge1 Ge 0.500 0.500 0.000
Ru1 Ru 0.500 0.500 0.500
```

ΔE_f (eV/atom): -0.28
Volume (Å³/f.u.): 112
DOS(E_F) (states/eV per cell): 2.92


[15]
TbGa2GeRu2: relaxed, GGA-PBE.

```
data_TbGa2GeRu2
_symmetry_space_group_name_H-M 'P 4/m m m'
_symmetry_Int_Tables_number 123
_symmetry_space_group_name_Hall '-P 4 2'
_cell_length_a 4.544
_cell_length_b 4.544
_cell_length_c 5.606
_cell_angle_alpha 90.00
_cell_angle_beta 90.00
_cell_angle_gamma 90.00
loop_
_atom_site_label
_atom_site_type_symbol
_atom_site_fract_x
_atom_site_fract_y
_atom_site_fract_z
Tb1 Tb 0.000 0.000 0.000
Ga1 Ga 0.500 0.500 0.232
Ge1 Ge 0.000 0.000 0.500
Ru1 Ru 0.000 0.500 0.500
```

ΔE_f (eV/atom): -0.19
Volume (Å³/f.u.): 116
DOS(E_F) (states/eV per cell): 4.94


[16]
Tb2GaGe2Ru5: relaxed, GGA-PBE.

```
data_Tb2GaGe2Ru5
_symmetry_space_group_name_H-M 'P 4/m b m'
_symmetry_Int_Tables_number 127
_symmetry_space_group_name_Hall '-P 4 2ab'
_cell_length_a 10.024
_cell_length_b 10.024
_cell_length_c 3.335
_cell_angle_alpha 90.00
_cell_angle_beta 90.00
_cell_angle_gamma 90.00
loop_
_atom_site_label
_atom_site_type_symbol
_atom_site_fract_x
_atom_site_fract_y
_atom_site_fract_z
Tb1 Tb 0.172 0.328 0.000
Ga1 Ga 0.000 0.000 0.000
Ge1 Ge 0.130 0.630 0.000
Ru1 Ru 0.000 0.500 0.500
Ru2 Ru 0.063 0.799 0.500
```

ΔE_f (eV/atom): -0.42
Volume (Å³/f.u.): 168
DOS(E_F) (states/eV per cell): 21.92


[17]
Th2Ga2GeRu5: relaxed, GGA-PBE.

```
data_Th2Ga2GeRu5
_symmetry_space_group_name_H-M 'P 4/m b m'
_symmetry_Int_Tables_number 127
_symmetry_space_group_name_Hall '-P 4 2ab'
_cell_length_a 10.129
_cell_length_b 10.129
_cell_length_c 3.406
_cell_angle_alpha 90.00
_cell_angle_beta 90.00
_cell_angle_gamma 90.00
loop_
_atom_site_label
_atom_site_type_symbol
_atom_site_fract_x
_atom_site_fract_y
_atom_site_fract_z
Th1 Th 0.173 0.327 0.000
Ga1 Ga 0.126 0.626 0.000
Ge1 Ge 0.000 0.000 0.000
Ru1 Ru 0.000 0.500 0.500
Ru2 Ru 0.065 0.799 0.500
```

ΔE_f (eV/atom): -0.38
Volume (Å³/f.u.): 175
DOS(E_F) (states/eV per cell): 10.40


[18]
ThGaGe2Ru: relaxed, GGA-PBE.

```
data_ThGaGe2Ru
_symmetry_space_group_name_H-M 'P m m a'
_symmetry_Int_Tables_number 51
_cell_length_a 5.873
_cell_length_b 5.682
_cell_length_c 5.768
_cell_angle_alpha 90.00
_cell_angle_beta 90.00
_cell_angle_gamma 90.00
loop_
_symmetry_equiv_pos_as_xyz
'x,y,z'
'-x,-y,-z'
'-x+1/2,-y,z'
'x+1/2,y,-z'
'x+1/2,-y,-z'
'-x+1/2,y,z'
'-x,y,-z'
'x,-y,z'
loop_
_atom_site_label
_atom_site_type_symbol
_atom_site_fract_x
_atom_site_fract_y
_atom_site_fract_z
Th1 Th 0.250 0.000 0.224
Ga1 Ga 0.250 0.500 0.364
Ge1 Ge 0.250 0.237 0.732
Ru1 Ru 0.000 0.500 0.000
```

ΔE_f (eV/atom): -0.52
Volume (Å³/f.u.): 96
DOS(E_F) (states/eV per cell): 4.52


[19]
Th2GaGe2Ru5: relaxed, GGA-PBE.

```
data_Th2GaGe2Ru5
_symmetry_space_group_name_H-M 'P 4/m b m'
_symmetry_Int_Tables_number 127
_symmetry_space_group_name_Hall '-P 4 2ab'
_cell_length_a 10.115
_cell_length_b 10.115
_cell_length_c 3.456
_cell_angle_alpha 90.00
_cell_angle_beta 90.00
_cell_angle_gamma 90.00
loop_
_atom_site_label
_atom_site_type_symbol
_atom_site_fract_x
_atom_site_fract_y
_atom_site_fract_z
Th1 Th 0.174 0.326 0.000
Ga1 Ga 0.000 0.000 0.000
Ge1 Ge 0.125 0.625 0.000
Ru1 Ru 0.000 0.500 0.500
Ru2 Ru 0.066 0.793 0.500
```

ΔE_f (eV/atom): -0.45
Volume (Å³/f.u.): 177
DOS(E_F) (states/eV per cell): 11.00


[20]
Th3GaGe6Ru2: relaxed, GGA-PBE.

```
data_Th3GaGe6Ru2
_symmetry_space_group_name_H-M 'P -3 m 1'
_symmetry_Int_Tables_number 164
_symmetry_space_group_name_Hall '-P 3 2"'
_cell_length_a 6.1915
_cell_length_b 6.1915
_cell_length_c 7.7350
_cell_angle_alpha 90.00
_cell_angle_beta 90.00
_cell_angle_gamma 120.00
loop_
_atom_site_label
_atom_site_type_symbol
_atom_site_fract_x
_atom_site_fract_y
_atom_site_fract_z
Th1 Th 0.0000 0.0000 0.0000
Th2 Th 0.3333 0.6667 0.6706
Ga1 Ga 0.0000 0.0000 0.5000
Ge1 Ge 0.1927 0.3855 0.2826
Ru1 Ru 0.3333 0.6667 0.0100
```

ΔE_f (eV/atom): -0.16
Volume (Å³/f.u.): 257
DOS(E_F) (states/eV per cell): 6.31


[21]
ThGa2GeRu2: relaxed, GGA-PBE.

```
data_ThGa2GeRu2
_symmetry_space_group_name_H-M 'P 4/m m m'
_symmetry_Int_Tables_number 123
_symmetry_space_group_name_Hall '-P 4 2'
_cell_length_a 4.546
_cell_length_b 4.546
_cell_length_c 5.728
_cell_angle_alpha 90.00
_cell_angle_beta 90.00
_cell_angle_gamma 90.00
loop_
_atom_site_label
_atom_site_type_symbol
_atom_site_fract_x
_atom_site_fract_y
_atom_site_fract_z
Th1 Th 0.000 0.000 0.000
Ga1 Ga 0.500 0.500 0.233
Ge1 Ge 0.000 0.000 0.500
Ru1 Ru 0.000 0.500 0.500
```

ΔE_f (eV/atom): -0.15
Volume (Å³/f.u.): 118
DOS(E_F) (states/eV per cell): 5.92


[22]
Tm2Ga2GeRu5: relaxed, GGA-PBE.

```
data_Tm2Ga2GeRu5
_symmetry_space_group_name_H-M 'P 4/m b m'
_symmetry_Int_Tables_number 127
_symmetry_space_group_name_Hall '-P 4 2ab'
_cell_length_a 9.934
_cell_length_b 9.934
_cell_length_c 3.331
_cell_angle_alpha 90.00
_cell_angle_beta 90.00
_cell_angle_gamma 90.00
loop_
_atom_site_label
_atom_site_type_symbol
_atom_site_fract_x
_atom_site_fract_y
_atom_site_fract_z
Tm1 Tm 0.169 0.331 0.000
Ga1 Ga 0.131 0.631 0.000
Ge1 Ge 0.000 0.000 0.000
Ru1 Ru 0.000 0.500 0.500
Ru2 Ru 0.061 0.807 0.500
```

ΔE_f (eV/atom): -0.38
Volume (Å³/f.u.): 164
DOS(E_F) (states/eV per cell): 19.52


[23]
Tm2GaGe2Ru5: relaxed, GGA-PBE.

```
data_Tm2GaGe2Ru5
_symmetry_space_group_name_H-M 'P 4/m b m'
_symmetry_Int_Tables_number 127
_symmetry_space_group_name_Hall '-P 4 2ab'
_cell_length_a 9.942
_cell_length_b 9.942
_cell_length_c 3.326
_cell_angle_alpha 90.00
_cell_angle_beta 90.00
_cell_angle_gamma 90.00
loop_
_atom_site_label
_atom_site_type_symbol
_atom_site_fract_x
_atom_site_fract_y
_atom_site_fract_z
Tm1 Tm 0.171 0.329 0.000
Ga1 Ga 0.000 0.000 0.000
Ge1 Ge 0.130 0.630 0.000
Ru1 Ru 0.000 0.500 0.500
Ru2 Ru 0.063 0.799 0.500
```

ΔE_f (eV/atom): -0.46
Volume (Å³/f.u.): 164
DOS(E_F) (states/eV per cell): 21.65